1.
Computed, not measured: crystalline LaPr2Zn2Pb2 at its relaxed geometry at the GGA-PBE level of DFT.

Cell and atoms, written as extended XYZ:
```
7
Lattice="-0.577 -4.751 0.586 -0.390 -2.874 -3.852 9.496 -3.745 -1.186" Properties=species:S:1:pos:R:3 pbc="T T T"
La 0.000 0.000 0.000
Pr 5.590 -3.267 -1.147
Pr 2.939 -8.104 -3.305
Zn 2.035 -5.412 -2.204
Zn 6.494 -5.959 -2.248
Pb 6.954 -8.596 -3.344
Pb 1.575 -2.774 -1.107
```

## Properties
* electronic total energy: -3.761 eV/atom

2.
Computed, not measured: crystalline ErTi3Sb2 at its relaxed geometry at the GGA-PBE level of DFT.

Cell and atoms, written as extended XYZ:
```
12
Lattice="-2.847 0.058 -2.970 4.254 -7.495 -1.374 -6.097 -0.204 5.841" Properties=species:S:1:pos:R:3 pbc="T T T"
Er -5.082 -5.650 1.912
Er 0.392 -1.991 -0.414
Ti -1.420 -4.712 1.269
Ti -2.440 -6.687 -0.641
Ti -4.977 -1.421 1.894
Ti 0.287 -6.220 -0.397
Ti -2.250 -0.954 2.139
Ti -3.271 -2.929 0.228
Sb -2.270 -7.263 2.035
Sb -2.420 -0.378 -0.537
Sb -1.360 -4.224 -1.629
Sb -3.331 -3.417 3.127
```

## Properties
* electronic total energy: -6.529 eV/atom
* formation energy without anion corrections: -0.45 eV/atom

> Which of these has the lowest electronic total energy?

ErTi3Sb2

What did the second record say?
Computed, not measured: crystalline ErTi3Sb2 at its relaxed geometry at the GGA-PBE level of DFT.

Cell and atoms, written as extended XYZ:
```
12
Lattice="-2.847 0.058 -2.970 4.254 -7.495 -1.374 -6.097 -0.204 5.841" Properties=species:S:1:pos:R:3 pbc="T T T"
Er -5.082 -5.650 1.912
Er 0.392 -1.991 -0.414
Ti -1.420 -4.712 1.269
Ti -2.440 -6.687 -0.641
Ti -4.977 -1.421 1.894
Ti 0.287 -6.220 -0.397
Ti -2.250 -0.954 2.139
Ti -3.271 -2.929 0.228
Sb -2.270 -7.263 2.035
Sb -2.420 -0.378 -0.537
Sb -1.360 -4.224 -1.629
Sb -3.331 -3.417 3.127
```

## Properties
* electronic total energy: -6.529 eV/atom
* formation energy without anion corrections: -0.45 eV/atom